No. 1
# TmAgAs2 PBE optimized geometry
# * E_tot: -4.6956 eV per atom
# * ΔE_f: -2.2 eV per formula unit
data_TmAgAs2
_space_group_name_H-M_alt 'P 4/m m m'
_space_group_IT_number 123
_space_group_name_Hall '-P 4 2'
_cell_length_a 4.618
_cell_length_b 4.618
_cell_length_c 3.762
_cell_angle_alpha 90.00
_cell_angle_beta 90.00
_cell_angle_gamma 90.00
loop_
_atom_site_label
_atom_site_fract_x
_atom_site_fract_y
_atom_site_fract_z
_atom_site_occupancy
Tm1 0.000 0.000 0.000 1
Ag1 0.500 0.500 0.000 1
As1 0.000 0.500 0.500 1

---

No. 2
# Tm2AgAs PBE optimized geometry
# * E_tot: -4.8542 eV per atom
# * ΔE_f: -3.0 eV per formula unit
data_Tm2AgAs
_space_group_name_H-M_alt 'R -3 m'
_space_group_IT_number 166
_space_group_name_Hall '-R 3 2"'
_cell_length_a 4.0076
_cell_length_b 4.0076
_cell_length_c 21.4128
_cell_angle_alpha 90.00
_cell_angle_beta 90.00
_cell_angle_gamma 120.00
loop_
_atom_site_label
_atom_site_fract_x
_atom_site_fract_y
_atom_site_fract_z
_atom_site_occupancy
Tm1 0.0000 0.0000 0.2430 1
Ag1 0.0000 0.0000 0.0000 1
As1 0.0000 0.0000 0.5000 1